Entry 1:
SiOsRu at its PBEsol-relaxed geometry, computed with SCAN.

```
data_SiOsRu
_symmetry_space_group_name_H-M 'P 1'
_symmetry_Int_Tables_number 1
_cell_length_a 3.9501
_cell_length_b 3.9501
_cell_length_c 3.9501
_cell_angle_alpha 60.00
_cell_angle_beta 60.00
_cell_angle_gamma 60.00
loop_
_symmetry_equiv_pos_as_xyz
'x,y,z'
loop_
_atom_site_label
_atom_site_type_symbol
_atom_site_fract_x
_atom_site_fract_y
_atom_site_fract_z
Os1 Os 0.0000 0.0000 0.0000
Ru1 Ru 0.5000 0.5000 0.5000
Si1 Si 0.2500 0.2500 0.2500
```

Properties
Crystal system   cubic
DOS at the Fermi energy   2.85 states/eV/cell
E   -38.9008 eV/atom
SG   F-43m (216)


Entry 2:
SiOsRu2 at its PBEsol-relaxed geometry, computed with SCAN.

```
data_SiOsRu2
_symmetry_space_group_name_H-M 'P 1'
_symmetry_Int_Tables_number 1
_cell_length_a 2.7323
_cell_length_b 4.4928
_cell_length_c 4.5754
_cell_angle_alpha 99.07
_cell_angle_beta 107.37
_cell_angle_gamma 90.00
loop_
_symmetry_equiv_pos_as_xyz
'x,y,z'
loop_
_atom_site_label
_atom_site_type_symbol
_atom_site_fract_x
_atom_site_fract_y
_atom_site_fract_z
Os1 Os 0.0000 0.5000 0.0000
Ru1 Ru 0.2517 0.2490 0.5033
Ru2 Ru 0.7483 0.7510 0.4967
Si1 Si 0.5000 0.0000 0.0000
```

Properties
Crystal system   monoclinic
DOS at the Fermi energy   3.57 states/eV/cell
E   -37.9312 eV/atom
SG   C2/m (12)


Entry 3:
SiOs2Ru at its PBEsol-relaxed geometry, computed with SCAN.

```
data_SiOs2Ru
_symmetry_space_group_name_H-M 'P 1'
_symmetry_Int_Tables_number 1
_cell_length_a 2.7530
_cell_length_b 3.7335
_cell_length_c 5.2631
_cell_angle_alpha 90.00
_cell_angle_beta 90.00
_cell_angle_gamma 90.00
loop_
_symmetry_equiv_pos_as_xyz
'x,y,z'
loop_
_atom_site_label
_atom_site_type_symbol
_atom_site_fract_x
_atom_site_fract_y
_atom_site_fract_z
Os1 Os 0.0000 0.0000 0.0106
Os2 Os 0.5000 0.5000 0.2320
Ru1 Ru 0.0000 0.0000 0.5243
Si1 Si 0.5000 0.5000 0.7331
```

Properties
Crystal system   orthorhombic
DOS at the Fermi energy   3.41 states/eV/cell
E   -47.1245 eV/atom
SG   Pmm2 (25)


Entry 4:
Si2OsRu at its PBEsol-relaxed geometry, computed with SCAN.

```
data_Si2OsRu
_symmetry_space_group_name_H-M 'P 1'
_symmetry_Int_Tables_number 1
_cell_length_a 2.8796
_cell_length_b 4.2632
_cell_length_c 4.5839
_cell_angle_alpha 106.01
_cell_angle_beta 108.31
_cell_angle_gamma 90.00
loop_
_symmetry_equiv_pos_as_xyz
'x,y,z'
loop_
_atom_site_label
_atom_site_type_symbol
_atom_site_fract_x
_atom_site_fract_y
_atom_site_fract_z
Ru1 Ru 0.7451 0.1724 0.4903
Si1 Si 0.0010 0.0588 0.0020
Si2 Si 0.2490 0.6935 0.4979
Os1 Os 0.5049 0.5753 0.0098
```

Properties
Crystal system   monoclinic
DOS at the Fermi energy   1.61 states/eV/cell
E   -32.1949 eV/atom
SG   Cm (8)


Entry 5:
Si2OsRu at its PBEsol-relaxed geometry, computed with SCAN.

```
data_Si2OsRu
_symmetry_space_group_name_H-M 'P 1'
_symmetry_Int_Tables_number 1
_cell_length_a 3.0716
_cell_length_b 3.0716
_cell_length_c 5.5650
_cell_angle_alpha 90.00
_cell_angle_beta 90.00
_cell_angle_gamma 90.00
loop_
_symmetry_equiv_pos_as_xyz
'x,y,z'
loop_
_atom_site_label
_atom_site_type_symbol
_atom_site_fract_x
_atom_site_fract_y
_atom_site_fract_z
Os1 Os 0.0000 0.0000 0.4404
Ru1 Ru 0.5000 0.5000 0.8116
Si1 Si 0.0000 0.0000 0.9936
Si2 Si 0.5000 0.5000 0.2544
```

Properties
Crystal system   tetragonal
DOS at the Fermi energy   1.64 states/eV/cell
E   -32.0888 eV/atom
SG   P4mm (99)


Entry 6:
SiOsRu2 at its PBEsol-relaxed geometry, computed with SCAN.

```
data_SiOsRu2
_symmetry_space_group_name_H-M 'P 1'
_symmetry_Int_Tables_number 1
_cell_length_a 2.7238
_cell_length_b 2.7238
_cell_length_c 8.3746
_cell_angle_alpha 80.64
_cell_angle_beta 80.64
_cell_angle_gamma 60.00
loop_
_symmetry_equiv_pos_as_xyz
'x,y,z'
loop_
_atom_site_label
_atom_site_type_symbol
_atom_site_fract_x
_atom_site_fract_y
_atom_site_fract_z
Os1 Os 0.2462 0.2462 0.2615
Ru1 Ru 0.0003 0.0003 0.9991
Ru2 Ru 0.7547 0.7547 0.7360
Si1 Si 0.4989 0.4989 0.5034
```

Properties
Crystal system   trigonal
DOS at the Fermi energy   3.23 states/eV/cell
E   -37.9536 eV/atom
SG   R3m (160)


Entry 7:
SiOs2Ru at its PBEsol-relaxed geometry, computed with SCAN.

```
data_SiOs2Ru
_symmetry_space_group_name_H-M 'P 1'
_symmetry_Int_Tables_number 1
_cell_length_a 2.7340
_cell_length_b 2.7340
_cell_length_c 8.4101
_cell_angle_alpha 80.65
_cell_angle_beta 80.65
_cell_angle_gamma 60.00
loop_
_symmetry_equiv_pos_as_xyz
'x,y,z'
loop_
_atom_site_label
_atom_site_type_symbol
_atom_site_fract_x
_atom_site_fract_y
_atom_site_fract_z
Os1 Os 0.2540 0.2540 0.2379
Os2 Os 0.7460 0.7460 0.7621
Ru1 Ru 0.5000 0.5000 0.5000
Si1 Si 0.0000 0.0000 0.0000
```

Properties
Crystal system   trigonal
DOS at the Fermi energy   2.85 states/eV/cell
E   -47.1637 eV/atom
SG   R-3m (166)


Entry 8:
Si2OsRu at its PBEsol-relaxed geometry, computed with SCAN.

```
data_Si2OsRu
_symmetry_space_group_name_H-M 'P 1'
_symmetry_Int_Tables_number 1
_cell_length_a 2.9221
_cell_length_b 2.9221
_cell_length_c 5.8416
_cell_angle_alpha 90.00
_cell_angle_beta 90.00
_cell_angle_gamma 90.00
loop_
_symmetry_equiv_pos_as_xyz
'x,y,z'
loop_
_atom_site_label
_atom_site_type_symbol
_atom_site_fract_x
_atom_site_fract_y
_atom_site_fract_z
Ru1 Ru 0.5000 0.5000 0.5000
Si1 Si 0.0000 0.0000 0.7487
Si2 Si 0.0000 0.0000 0.2513
Os1 Os 0.5000 0.5000 0.0000
```

Properties
Crystal system   tetragonal
DOS at the Fermi energy   0.55 states/eV/cell
E   -32.2969 eV/atom
SG   P4/mmm (123)